5
Lattice="4.2452 0.0000 0.0000 0.0000 4.2452 0.0000 0.0000 0.0000 4.0150" Properties=species:S:1:pos:R:3 comment="LiWNF2 PBE+U relaxed" e_tot_ev_per_cell=-27.761 dos_ef_per_ev_cell=0.4 polymorph_energy_mev_per_atom=0 pbc="T T T"
Li 0.0000 0.0000 0.0000
W 2.1226 2.1226 2.0075
N 2.1226 2.1226 0.0000
F 0.0000 2.1226 2.0075
F 2.1226 0.0000 2.0075